Record 1
The following is a DFT calculation (GGA-PBE) of a relaxed structure of SnPH2Rh.

abc: 3.5428 3.5428 5.5986
angles: 90.00 90.00 90.00
Space group P4/mmm (No. 123)
Asymmetric unit:
Sn1 0.0000 0.0000 0.0000
P1 0.5000 0.5000 0.5000
H1 0.0000 0.5000 0.0000
Rh1 0.0000 0.0000 0.5000

E_tot = -4.372 eV per atom

Record 2
The following is a DFT calculation (GGA-PBE) of a relaxed structure of SrPH2Rh2.

abc: 7.8915 9.1590 5.5393
angles: 90.00 90.00 90.00
Space group Cmcm (No. 63)
Asymmetric unit:
Sr1 0.0000 0.1974 0.2500
P1 0.0000 0.3754 0.7500
H1 0.1832 0.0423 0.7500
Rh1 0.1815 0.5000 0.0000

E_tot = -5.293 eV per atom

Record 3
The following is a DFT calculation (GGA-PBE) of a relaxed structure of Sr2P2HRh2.

abc: 11.1494 4.0774 7.1081
angles: 90.00 125.55 90.00
Space group C2/m (No. 12)
Asymmetric unit:
Sr1 0.0560 0.0000 0.3092
P1 0.1948 0.5000 0.7436
H1 0.0000 0.5000 0.0000
Rh1 0.1988 0.5000 0.0798

E_tot = -5.450 eV per atom